Co2C3N6 | GGA-PBE | optimized geometry

Values from the calculation:
- Space group: No. 12
- ΔE_f (raw): 4.32 eV per formula unit
- Final energy: -87.5 eV per formula unit
- Theoretical density: 3.40 g/cm³

```
Co2C3N6
1.0
-0.267 6.741 -5.494
-1.695 -1.163 -2.149
-3.594 3.348 1.023
N Co C
6 2 3
Cartesian
-3.367 4.309 -1.733
-2.516 0.463 -2.381
-1.410 3.084 -2.614
-3.040 8.464 -4.239
-4.146 5.843 -4.006
-2.188 4.617 -4.887
-4.016 7.545 -2.972
-1.539 1.382 -3.649
-3.127 5.269 -4.499
-2.429 3.658 -2.121
-1.797 1.674 0.512
```